Here is a relaxed structure of Tb7Sm2Er from Alexandria. Energies are from PBE-GGA.

a b c (Å): 5.637 9.029 10.062
angles (deg): 125.85 73.72 128.59
Fractional positions:
Tb  0.145  0.934  0.579
Tb  0.855  0.066  0.421
Tb  0.201  0.603  0.803
Tb  0.799  0.397  0.197
Tb  0.298  0.895  0.194
Tb  0.702  0.105  0.806
Tb  0.500  0.500  0.000
Sm  0.357  0.567  0.422
Sm  0.643  0.433  0.578
Er  0.000  0.000  0.000

Output
The value obtained for the magnetization is 0.001 μB/cell. As for the crystal system: triclinic. As for the space group: P-1. For the energy above the lowest structure with this stoichiometry, the calculation gives 0.0 meV per atom. As for the energy relative to the elements: 0.05 eV/atom.